# Li3AgPd

A relaxed structure of Li3AgPd (PBE-GGA, Alexandria via LeMat-Bulk).

Unit cell a=9.1526 b=4.3551 c=8.1551 alpha=90.00 beta=96.99 gamma=90.00
Space group C2/m (No. 12)
One atom of each set of equivalent atoms:
Li 0.0477 0.0000 0.3531
Li 0.0891 0.5000 0.1308
Li 0.1667 0.5000 0.7189
Ag 0.1387 0.0000 0.9354
Pd 0.2455 0.5000 0.3983

## Properties
density: 4.8 Mg/m³
formation enthalpy at 0 K: -0.234 eV/atom
uncorrected energy: -2.9907 eV per atom
excess energy over the best structure of this formula in the dataset: 0.0668 eV/atom

---

# LiAgPd14

A relaxed structure of LiAgPd14 (PBE-GGA, Alexandria via LeMat-Bulk).

Unit cell a=9.2028 b=5.5277 c=9.6672 alpha=90.00 beta=90.00 gamma=90.00
Space group Amm2 (No. 38)
One atom of each set of equivalent atoms:
Li 0.0000 0.0000 0.0000
Ag 0.0000 0.0000 0.5014
Pd 0.0000 0.2504 0.2518
Pd 0.2460 0.0000 0.1622
Pd 0.2492 0.2484 0.9131
Pd 0.2497 0.0000 0.6641
Pd 0.5000 0.0000 0.3266
Pd 0.5000 0.0000 0.8273
Pd 0.5000 0.2495 0.0770

## Properties
density: 10.8 Mg/m³
formation enthalpy at 0 K: -0.058 eV/atom
uncorrected energy: -4.8999 eV per atom

---

# Li12AgPd6

A relaxed structure of Li12AgPd6 (PBE-GGA, Alexandria via LeMat-Bulk).

Unit cell a=9.5381 b=9.5381 c=11.3686 alpha=90.00 beta=90.00 gamma=120.00
Space group R-3 (No. 148, hexagonal axes)
One atom of each set of equivalent atoms:
Li 0.0344 0.8370 0.3179
Li 0.0614 0.2234 0.9143
Ag 0.0000 0.0000 0.5000
Pd 0.0152 0.5831 0.2022

## Properties
density: 4.6 Mg/m³
formation enthalpy at 0 K: -0.300 eV/atom
uncorrected energy: -3.2990 eV per atom
excess energy over the best structure of this formula in the dataset: 0.0312 eV/atom